AlSiAu2 (PBE, optimized geometry); SG = I4/mmm (139); mass density = 10981 kg/m³; formation energy (no corrections) = 0.3 eV per formula unit; volume = 68 Å³/cell
1.0
4.860 0.014 -0.052
1.216 4.706 0.052
-3.007 -2.400 2.970
Si Au Al
1 2 1
direct
0.750 0.250 0.500
0.000 0.000 0.000
0.500 0.500 0.000
0.250 0.750 0.500

***

AlSiAu2 (PBE, optimized geometry); SG = Pmm2 (25); mass density = 10669 kg/m³; formation energy (no corrections) = -0.4 eV per formula unit; volume = 70 Å³/cell
1.0
-0.983 1.842 2.971
-1.928 -2.920 1.173
4.216 -1.781 2.499
Si Au Al
1 2 1
direct
0.000 0.000 0.452
0.000 0.000 0.944
0.500 0.500 0.310
0.500 0.500 0.793

***

Al2SiAu (PBE, optimized geometry); SG = I-42d (122); mass density = 6386 kg/m³; formation energy (no corrections) = 0.1 eV per formula unit; volume = 145 Å³/cell
1.0
4.136 0.000 0.000
0.000 4.136 0.000
2.068 2.068 8.482
Si Au Al
2 2 4
direct
0.500 0.500 0.000
0.250 0.750 0.500
0.000 0.000 0.000
0.750 0.250 0.500
0.622 0.125 0.250
0.128 0.625 0.250
0.375 0.378 0.750
0.875 0.872 0.750

***

Al2SiAu (PBE, optimized geometry); SG = Pmm2 (25); mass density = 6609 kg/m³; formation energy (no corrections) = 0.0 eV per formula unit; volume = 70 Å³/cell
1.0
3.434 0.000 0.000
0.000 3.796 0.000
0.000 0.000 5.378
Si Au Al
1 1 2
direct
0.500 0.500 0.814
0.000 0.000 0.432
0.000 0.000 0.949
0.500 0.500 0.305

***

Number 1: E -3.864 eV per atom. Number 2: E -4.021 eV per atom. Number 3: E -4.009 eV per atom. Number 4: E -4.042 eV per atom.